SiOsCl2: relaxed, GGA-PBE.

```
SiOsCl2
1.0
3.158 0.000 0.000
-1.579 2.735 0.000
0.000 0.000 26.777
Si Os Cl
3 3 6
direct
0.000 0.000 0.000
0.333 0.667 0.667
0.667 0.333 0.333
0.000 0.000 0.723
0.333 0.667 0.390
0.667 0.333 0.057
0.000 0.000 0.268
0.000 0.000 0.462
0.333 0.667 0.129
0.333 0.667 0.935
0.667 0.333 0.602
0.667 0.333 0.795
```

The value obtained for the uncorrected formation energy is -0.0251 eV/atom. The total magnetic moment comes out at 0.00 μB/f.u. The energy above the most stable polymorph in this dataset is 173 meV per atom. The total energy comes out at -5.11 eV/atom. Its theoretical density is 6.23 Mg/m³. The value obtained for the density of states at the Fermi level is 9.15 states/eV per cell. The crystal system is trigonal.